1.
A geometry-optimized PmMgAlAg structure. Source: Alexandria via LeMat-Bulk, functional PBE.

Results
Crystal system: cubic
Formation enthalpy at 0 K (kJ per mole of atoms): -28.9
V (Å³/cell): 355.3

a = 7.083 Å, b = 7.083 Å, c = 7.083 Å
α = 90.00°, β = 90.00°, γ = 90.00°
Space group F-43m (No. 216)
Asymmetric unit:
Pm: 0.000 0.000 0.000 x4
Mg: 0.000 0.000 0.500 x4
Al: 0.250 0.250 0.750 x4
Ag: 0.250 0.250 0.250 x4

---

2.
A geometry-optimized CePrI4 structure. Source: Alexandria via LeMat-Bulk, functional PBE.

Results
Crystal system: monoclinic
V (Å³/cell): 258.6
Uncorrected formation energy (meV/atom): -1265

a = 7.421 Å, b = 4.263 Å, c = 8.515 Å
α = 90.00°, β = 106.31°, γ = 90.00°
Space group P2/m (No. 10)
Asymmetric unit:
Ce: 0.000 0.000 0.000 x1
Pr: 0.500 0.500 0.000 x1
I: 0.248 0.500 0.252 x2
I: 0.251 0.000 0.748 x2

---

3.
A geometry-optimized TbLu2Zr structure. Source: Alexandria via LeMat-Bulk, functional PBE.

Results
Crystal system: tetragonal
Formation enthalpy at 0 K (kJ per mole of atoms): 14.6
V (Å³/cell): 113.3

a = 3.937 Å, b = 3.937 Å, c = 7.306 Å
α = 90.00°, β = 90.00°, γ = 90.00°
Space group P4/mmm (No. 123)
Asymmetric unit:
Tb: 0.000 0.000 0.000 x1
Lu: 0.500 0.500 0.276 x2
Zr: 0.000 0.000 0.500 x1

---

4.
A geometry-optimized ZrAgH2Cl8 structure. Source: Alexandria via LeMat-Bulk, functional PBE.

Results
Crystal system: triclinic
V (Å³/cell): 357.0
Energy (eV/atom): -3.716

a = 6.748 Å, b = 7.262 Å, c = 7.297 Å
α = 87.72°, β = 88.24°, γ = 88.28°
Space group P-1 (No. 2)
Asymmetric unit:
Zr: 0.000 0.000 0.000 x1
Ag: 0.000 0.500 0.000 x1
H: 0.254 0.677 0.322 x2
Cl: 0.207 0.750 0.848 x2
Cl: 0.213 0.977 0.265 x2
Cl: 0.214 0.250 0.858 x2
Cl: 0.263 0.496 0.330 x2

---

Among the records above, which one has the highest V?
ZrAgH2Cl8